An optimized crystal structure of BePbBr2, computed with PBEsol.

It has space group I4/mmm (No. 139), with a = 5.185 Å, b = 5.185 Å, c = 7.364 Å, α = 90.00°, β = 90.00° and γ = 90.00°. Symmetry generates all atoms from Be at (0.000, 0.000, 0.000), Pb at (0.000, 0.000, 0.500) and Br at (0.000, 0.500, 0.250).

Its electronic total energy is -21.7 eV per cell. The calculation puts the volume at 24.7 Å³ per atom. The density comes out at 6.3 g cm⁻³.